The following is a GGA+U calculation of a relaxed Sr2FeO crystal, from the Alexandria database.

Unit cell a=6.984 b=6.984 c=6.984 alpha=117.06 beta=117.06 gamma=95.17
Fractional coordinates of all 8 atoms:
Sr 0.010 0.625 0.885
Sr 0.375 0.260 0.385
Sr 0.740 0.125 0.115
Sr 0.875 0.990 0.615
Fe 0.250 0.750 0.500
Fe 0.500 0.500 0.000
O 0.000 0.000 0.000
O 0.750 0.250 0.500

Calculated values
The calculated total energy is -34.36 eV for the cell shown. As for the symmetry: I-42d.